The following is a GGA-PBE calculation of a relaxed BeZnNi3 crystal, from Alexandria.

Values from the calculation:
- DOS(E_F) (states/eV/f.u.) = 0.7
- crystal system = cubic
- spin magnetization (μB per formula unit) = 0.0
- ΔE_f (meV/atom) = 1104

Lattice parameters (Å, degrees): 4.2658 4.2658 4.2658 90.00 90.00 90.00
Space group Pm-3m (No. 221)
Asymmetric unit:
Be  0.0000  0.0000  0.0000
Zn  0.5000  0.5000  0.5000
Ni  0.0000  0.5000  0.5000